No. 1
# Re2OsRh | the Alexandria database | meta-GGA SCAN | single point on PBEsol structure
# Volume ... 14.1 Å³ per atom
# Polymorph energy (0 for the lowest one) ... 0.0000 eV per atom
data_Re2OsRh
_chemical_formula_sum 'Re2 Os1 Rh1'
_cell_length_a 2.7283
_cell_length_b 4.3418
_cell_length_c 4.7509
_cell_angle_alpha 90.00
_cell_angle_beta 90.00
_cell_angle_gamma 90.00
_space_group_name_H-M_alt 'P m m 2'
_space_group_IT_number 25
loop_
_space_group_symop_operation_xyz
'x,y,z'
'-x,-y,z'
'-x,y,z'
'x,-y,z'
loop_
_atom_site_label
_atom_site_fract_x
_atom_site_fract_y
_atom_site_fract_z
Re1 0.0000 0.0000 0.0000
Re2 0.0000 0.5000 0.3323
Os1 0.5000 0.0000 0.5008
Rh1 0.5000 0.5000 0.8401

No. 2
# MoRuPt | the Alexandria database | meta-GGA SCAN | single point on PBEsol structure
# Volume ... 14.5 Å³ per atom
# Polymorph energy (0 for the lowest one) ... 0.1158 eV per atom
data_MoRuPt
_chemical_formula_sum 'Mo1 Ru1 Pt1'
_cell_length_a 2.7271
_cell_length_b 2.7271
_cell_length_c 6.7437
_cell_angle_alpha 90.00
_cell_angle_beta 90.00
_cell_angle_gamma 120.00
_space_group_name_H-M_alt 'P 3 m 1'
_space_group_IT_number 156
loop_
_space_group_symop_operation_xyz
'x,y,z'
'-y,x-y,z'
'-x+y,-x,z'
'-y,-x,z'
'-x+y,y,z'
'x,x-y,z'
loop_
_atom_site_label
_atom_site_fract_x
_atom_site_fract_y
_atom_site_fract_z
Mo1 0.0000 0.0000 0.0000
Ru1 0.6667 0.3333 0.3130
Pt1 0.3333 0.6667 0.6591

No. 3
# LaCuP2O | the Alexandria database | meta-GGA SCAN | single point on PBEsol structure
# Formation energy without anion corrections ... -601 meV/atom
# Volume ... 16.4 Å³ per atom
data_LaCuP2O
_chemical_formula_sum 'La1 Cu1 P2 O1'
_cell_length_a 4.4172
_cell_length_b 4.4172
_cell_length_c 4.2108
_cell_angle_alpha 90.00
_cell_angle_beta 90.00
_cell_angle_gamma 90.00
_space_group_name_H-M_alt 'P 4/m m m'
_space_group_IT_number 123
_space_group_name_Hall '-P 4 2'
loop_
_atom_site_label
_atom_site_fract_x
_atom_site_fract_y
_atom_site_fract_z
La1 0.0000 0.0000 0.0000
Cu1 0.5000 0.5000 0.5000
P1 0.0000 0.5000 0.5000
O1 0.5000 0.5000 0.0000

No. 4
# Cr2IrRh | the Alexandria database | meta-GGA SCAN | single point on PBEsol structure
# Volume ... 12.6 Å³ per atom
# Raw total energy ... -35.58 eV per atom
data_Cr2IrRh
_chemical_formula_sum 'Cr4 Ir2 Rh2'
_cell_length_a 5.2488
_cell_length_b 7.2766
_cell_length_c 2.6293
_cell_angle_alpha 90.00
_cell_angle_beta 90.00
_cell_angle_gamma 90.00
_space_group_name_H-M_alt 'C m m m'
_space_group_IT_number 65
_space_group_name_Hall '-C 2 2'
loop_
_atom_site_label
_atom_site_fract_x
_atom_site_fract_y
_atom_site_fract_z
Cr1 0.2500 0.2500 0.0000
Ir1 0.0000 0.0000 0.5000
Rh1 0.0000 0.5000 0.5000

No. 5
# Sb2Br | the Alexandria database | meta-GGA SCAN | single point on PBEsol structure
# Formation energy without anion corrections ... -160 meV/atom
# Volume ... 32.2 Å³ per atom
# Polymorph energy (0 for the lowest one) ... 0.0169 eV per atom
data_Sb2Br
_chemical_formula_sum 'Sb8 Br4'
_cell_length_a 10.8427
_cell_length_b 4.1096
_cell_length_c 8.7554
_cell_angle_alpha 90.00
_cell_angle_beta 98.39
_cell_angle_gamma 90.00
_space_group_name_H-M_alt 'C 1 2/m 1'
_space_group_IT_number 12
loop_
_space_group_symop_operation_xyz
'x,y,z'
'-x,-y,-z'
'-x,y,-z'
'x,-y,z'
'x+1/2,y+1/2,z'
'-x+1/2,-y+1/2,-z'
'-x+1/2,y+1/2,-z'
'x+1/2,-y+1/2,z'
loop_
_atom_site_label
_atom_site_fract_x
_atom_site_fract_y
_atom_site_fract_z
Sb1 0.1008 0.0000 0.2884
Sb2 0.1298 0.5000 0.0643
Br1 0.1556 0.5000 0.6361

No. 6
# V9GaSiGe | the Alexandria database | meta-GGA SCAN | single point on PBEsol structure
# Formation energy without anion corrections ... -377 meV/atom
# Volume ... 12.9 Å³ per atom
data_V9GaSiGe
_chemical_formula_sum 'V18 Ga2 Si2 Ge2'
_cell_length_a 4.6723
_cell_length_b 4.6883
_cell_length_c 14.0807
_cell_angle_alpha 90.00
_cell_angle_beta 90.00
_cell_angle_gamma 90.00
_space_group_name_H-M_alt 'P m m 2'
_space_group_IT_number 25
loop_
_space_group_symop_operation_xyz
'x,y,z'
'-x,-y,z'
'-x,y,z'
'x,-y,z'
loop_
_atom_site_label
_atom_site_fract_x
_atom_site_fract_y
_atom_site_fract_z
V1 0.0000 0.0000 0.0000
V2 0.0000 0.0000 0.1614
V3 0.0000 0.0000 0.3299
V4 0.0000 0.0000 0.4976
V5 0.0000 0.0000 0.6680
V6 0.0000 0.0000 0.8327
V7 0.2432 0.5000 0.2449
V8 0.2452 0.5000 0.5817
V9 0.2555 0.5000 0.9179
V10 0.5000 0.2458 0.7526
V11 0.5000 0.2492 0.4151
V12 0.5000 0.2559 0.0779
Ga1 0.5000 0.0000 0.2465
Ga2 0.5000 0.0000 0.5833
Si1 0.0000 0.5000 0.0809
Si2 0.5000 0.0000 0.9156
Ge1 0.0000 0.5000 0.4138
Ge2 0.0000 0.5000 0.7502

No. 7
# Be2AlOs2 | the Alexandria database | meta-GGA SCAN | single point on PBEsol structure
# Volume ... 11.0 Å³ per atom
# Raw total energy ... -32.58 eV per atom
data_Be2AlOs2
_chemical_formula_sum 'Be4 Al2 Os4'
_cell_length_a 6.0358
_cell_length_b 6.0358
_cell_length_c 3.0191
_cell_angle_alpha 90.00
_cell_angle_beta 90.00
_cell_angle_gamma 90.00
_space_group_name_H-M_alt 'P 4/m b m'
_space_group_IT_number 127
_space_group_name_Hall '-P 4 2ab'
loop_
_atom_site_label
_atom_site_fract_x
_atom_site_fract_y
_atom_site_fract_z
Be1 0.1208 0.3792 0.0000
Al1 0.0000 0.0000 0.0000
Os1 0.1734 0.6734 0.5000

No. 8
# K2ZnIr | the Alexandria database | meta-GGA SCAN | single point on PBEsol structure
# Volume ... 28.9 Å³ per atom
# Raw total energy ... -25.08 eV per atom
data_K2ZnIr
_chemical_formula_sum 'K2 Zn1 Ir1'
_cell_length_a 3.4431
_cell_length_b 3.4431
_cell_length_c 9.7412
_cell_angle_alpha 90.00
_cell_angle_beta 90.00
_cell_angle_gamma 90.00
_space_group_name_H-M_alt 'P 4 m m'
_space_group_IT_number 99
loop_
_space_group_symop_operation_xyz
'x,y,z'
'-y,x,z'
'-x,-y,z'
'y,-x,z'
'-x,y,z'
'y,x,z'
'x,-y,z'
'-y,-x,z'
loop_
_atom_site_label
_atom_site_fract_x
_atom_site_fract_y
_atom_site_fract_z
K1 0.0000 0.0000 0.0000
K2 0.5000 0.5000 0.4330
Zn1 0.0000 0.0000 0.6933
Ir1 0.5000 0.5000 0.7462

No. 9
# KCa2Re | the Alexandria database | meta-GGA SCAN | single point on PBEsol structure
# Volume ... 34.4 Å³ per atom
# Polymorph energy (0 for the lowest one) ... 0.1534 eV per atom
data_KCa2Re
_chemical_formula_sum 'K2 Ca4 Re2'
_cell_length_a 3.0105
_cell_length_b 5.1901
_cell_length_c 17.6252
_cell_angle_alpha 90.00
_cell_angle_beta 90.00
_cell_angle_gamma 90.00
_space_group_name_H-M_alt 'I m m 2'
_space_group_IT_number 44
loop_
_space_group_symop_operation_xyz
'x,y,z'
'-x,-y,z'
'-x,y,z'
'x,-y,z'
'x+1/2,y+1/2,z+1/2'
'-x+1/2,-y+1/2,z+1/2'
'-x+1/2,y+1/2,z+1/2'
'x+1/2,-y+1/2,z+1/2'
loop_
_atom_site_label
_atom_site_fract_x
_atom_site_fract_y
_atom_site_fract_z
K1 0.0000 0.0000 0.0000
Ca1 0.0000 0.0000 0.6871
Ca2 0.0000 0.5000 0.8264
Re1 0.0000 0.5000 0.3257

No. 10
# SrCo2Si | the Alexandria database | meta-GGA SCAN | single point on PBEsol structure
# Formation energy without anion corrections ... 442 meV/atom
# Volume ... 15.6 Å³ per atom
data_SrCo2Si
_chemical_formula_sum 'Sr2 Co4 Si2'
_cell_length_a 2.7923
_cell_length_b 4.6754
_cell_length_c 9.5705
_cell_angle_alpha 90.00
_cell_angle_beta 90.00
_cell_angle_gamma 90.00
_space_group_name_H-M_alt 'I m m 2'
_space_group_IT_number 44
loop_
_space_group_symop_operation_xyz
'x,y,z'
'-x,-y,z'
'-x,y,z'
'x,-y,z'
'x+1/2,y+1/2,z+1/2'
'-x+1/2,-y+1/2,z+1/2'
'-x+1/2,y+1/2,z+1/2'
'x+1/2,-y+1/2,z+1/2'
loop_
_atom_site_label
_atom_site_fract_x
_atom_site_fract_y
_atom_site_fract_z
Sr1 0.0000 0.0000 0.0000
Co1 0.0000 0.0000 0.4832
Co2 0.0000 0.5000 0.2026
Si1 0.0000 0.5000 0.7884

No. 11
# MnOs3 | the Alexandria database | meta-GGA SCAN | single point on PBEsol structure
# Volume ... 13.9 Å³ per atom
# Raw total energy ... -58.02 eV per atom
data_MnOs3
_chemical_formula_sum 'Mn3 Os9'
_cell_length_a 8.5160
_cell_length_b 8.5160
_cell_length_c 2.6520
_cell_angle_alpha 90.00
_cell_angle_beta 90.00
_cell_angle_gamma 120.00
_space_group_name_H-M_alt 'R -3 m'
_space_group_IT_number 166
_space_group_name_Hall '-R 3 2"'
loop_
_atom_site_label
_atom_site_fract_x
_atom_site_fract_y
_atom_site_fract_z
Mn1 0.0000 0.0000 0.0000
Os1 0.0000 0.5000 0.0000

No. 12
# RbSn2Pd2 | the Alexandria database | meta-GGA SCAN | single point on PBEsol structure
# Volume ... 24.2 Å³ per atom
# Polymorph energy (0 for the lowest one) ... 0.1231 eV per atom
data_RbSn2Pd2
_chemical_formula_sum 'Rb2 Sn4 Pd4'
_cell_length_a 4.6820
_cell_length_b 4.6820
_cell_length_c 11.0525
_cell_angle_alpha 90.00
_cell_angle_beta 90.00
_cell_angle_gamma 90.00
_space_group_name_H-M_alt 'I 4/m m m'
_space_group_IT_number 139
_space_group_name_Hall '-I 4 2'
loop_
_atom_site_label
_atom_site_fract_x
_atom_site_fract_y
_atom_site_fract_z
Rb1 0.0000 0.0000 0.0000
Sn1 0.0000 0.5000 0.2500
Pd1 0.0000 0.0000 0.3720

Repeat the sixth record exactly.
# V9GaSiGe | the Alexandria database | meta-GGA SCAN | single point on PBEsol structure
# Formation energy without anion corrections ... -377 meV/atom
# Volume ... 12.9 Å³ per atom
data_V9GaSiGe
_chemical_formula_sum 'V18 Ga2 Si2 Ge2'
_cell_length_a 4.6723
_cell_length_b 4.6883
_cell_length_c 14.0807
_cell_angle_alpha 90.00
_cell_angle_beta 90.00
_cell_angle_gamma 90.00
_space_group_name_H-M_alt 'P m m 2'
_space_group_IT_number 25
loop_
_space_group_symop_operation_xyz
'x,y,z'
'-x,-y,z'
'-x,y,z'
'x,-y,z'
loop_
_atom_site_label
_atom_site_fract_x
_atom_site_fract_y
_atom_site_fract_z
V1 0.0000 0.0000 0.0000
V2 0.0000 0.0000 0.1614
V3 0.0000 0.0000 0.3299
V4 0.0000 0.0000 0.4976
V5 0.0000 0.0000 0.6680
V6 0.0000 0.0000 0.8327
V7 0.2432 0.5000 0.2449
V8 0.2452 0.5000 0.5817
V9 0.2555 0.5000 0.9179
V10 0.5000 0.2458 0.7526
V11 0.5000 0.2492 0.4151
V12 0.5000 0.2559 0.0779
Ga1 0.5000 0.0000 0.2465
Ga2 0.5000 0.0000 0.5833
Si1 0.0000 0.5000 0.0809
Si2 0.5000 0.0000 0.9156
Ge1 0.0000 0.5000 0.4138
Ge2 0.0000 0.5000 0.7502